{"formula": "TbHo9Er2", "functional": "GGA-PBE", "state": "optimized geometry", "polymorph_energy_ev_per_atom": 0.027, "density_g_cm3": 8.85, "space_group": "P6/mmm, No. 191", "n_ef_per_ev_atom": 1.5036, "formation_enthalpy_0k_ev_per_fu": 0.594, "cell": [[11.112, 0.000, 0.000], [-5.556, 9.623, 0.000], [0.000, 0.000, 3.470]], "species": ["Tb", "Ho", "Ho", "Ho", "Ho", "Ho", "Ho", "Ho", "Ho", "Ho", "Er", "Er"], "frac_coords": [[0.000, 0.000, 0.000], [0.000, 0.500, 0.000], [0.177, 0.354, 0.500], [0.177, 0.823, 0.500], [0.354, 0.177, 0.500], [0.500, 0.000, 0.000], [0.500, 0.500, 0.000], [0.646, 0.823, 0.500], [0.823, 0.177, 0.500], [0.823, 0.646, 0.500], [0.333, 0.667, 0.000], [0.667, 0.333, 0.000]]}